1.
Material: Y7NiSe5
Method: DFT, GGA-PBE
State: relaxed

Properties
Calculated volume, Å³ per atom: 24.850
E_form (uncorrected), meV per atom: -1420
ρ, Mg/m³: 5.53
N(E_F), states/eV per atom: 0.511

abc: 3.9465 13.4357 24.3700
angles: 90.00 90.00 90.00
Space group Cmcm (No. 63)
Unique sites:
Y: 0.0000 0.0473 0.2500
Y: 0.0000 0.1387 0.5388
Y: 0.0000 0.2955 0.1813
Y: 0.0000 0.4129 0.6158
Ni: 0.0000 0.3053 0.7500
Se: 0.0000 0.0571 0.6456
Se: 0.0000 0.2196 0.0711
Se: 0.0000 0.5000 0.0000

---

2.
Material: BaV2ZnGa
Method: DFT, GGA-PBE
State: relaxed

Properties
ΔH_f (0 K), eV per atom: 0.945
Calculated volume, Å³ per atom: 30.489
ρ, Mg/m³: 4.08
N(E_F), states/eV per atom: 1.704

abc: 5.0003 5.0003 6.0971
angles: 90.00 90.00 90.00
Space group P4/mmm (No. 123)
Unique sites:
Ba: 0.0000 0.0000 0.0000
V: 0.0000 0.5000 0.5000
Zn: 0.5000 0.5000 0.0000
Ga: 0.0000 0.0000 0.5000

---

3.
Material: LiReTcRh
Method: DFT, GGA-PBE
State: relaxed

Properties
ΔH_f (0 K), eV per atom: -0.003
Calculated volume, Å³ per atom: 13.801
ρ, Mg/m³: 11.85
N(E_F), states/eV per atom: 0.494

abc: 6.0443 6.0443 6.0443
angles: 90.00 90.00 90.00
Space group F-43m (No. 216)
Unique sites:
Li: 0.0000 0.0000 0.0000
Re: 0.0000 0.0000 0.5000
Tc: 0.2500 0.2500 0.2500
Rh: 0.2500 0.2500 0.7500

---

4.
Material: Mn2MoSe
Method: DFT, GGA-PBE
State: relaxed

Properties
Calculated volume, Å³ per atom: 14.483
E_form (uncorrected), meV per atom: 243
ρ, Mg/m³: 8.16
N(E_F), states/eV per atom: 0.663

abc: 8.5105 3.0755 4.4797
angles: 90.00 98.83 90.00
Space group Cm (No. 8)
Unique sites:
Mn: 0.0000 0.0000 0.0000
Mn: 0.2485 0.5000 0.2504
Mo: 0.2628 0.0000 0.7864
Se: 0.4957 0.0000 0.4527

---

5.
Material: SrCu2SbW
Method: DFT, GGA-PBE
State: relaxed

Properties
Calculated volume, Å³ per atom: 26.479
E_form (uncorrected), meV per atom: 1262
ρ, Mg/m³: 6.53
E above lowest polymorph, meV per atom: 0.0
N(E_F), states/eV per atom: 0.951

abc: 4.8085 4.8085 5.7260
angles: 90.00 90.00 90.00
Space group P4/mmm (No. 123)
Unique sites:
Sr: 0.0000 0.0000 0.0000
Cu: 0.0000 0.5000 0.5000
Sb: 0.5000 0.5000 0.0000
W: 0.0000 0.0000 0.5000

---

6.
Material: NaCa3Ni2H8
Method: DFT, GGA-PBE
State: relaxed

Properties
Calculated volume, Å³ per atom: 11.642
ρ, Mg/m³: 2.74
N(E_F), states/eV per atom: 0.588

abc: 5.1282 5.1282 7.1567
angles: 90.00 90.00 120.00
Space group P-3m1 (No. 164)
Unique sites:
Na: 0.0000 0.0000 0.0000
Ca: 0.0000 0.0000 0.5000
Ca: 0.3333 0.6667 0.2028
Ni: 0.3333 0.6667 0.7343
H: 0.1592 0.3183 0.7739
H: 0.3333 0.6667 0.5171

---

no.,calculated total energy (eV per cell)
1,-347.65
2,-19.74
3,-128.36
4,-63.36
5,-20.64
6,-50.52